DFT (PBE-GGA) results for Tc2P after structural relaxation.

DFT formation energy: 181.6 kJ/mol of formula units
VASP energy: -8.086 eV/atom
E above lowest polymorph: 1065 meV per atom

Cell lengths 4.8982, 4.8982, 9.7466 Å; angles 90.00, 90.00, 120.00 degrees
With the nearest neighbours (Å) after each atom.
Element x y z (fractional)
Tc  0.0000  0.0000  0.0000  6 Tc 2.82, 6 P 2.85
Tc  0.0000  0.0000  0.5000  6 Tc 2.82, 6 P 2.85
Tc  0.1669  0.3338  0.2500  4 Tc 2.45, 2 P 2.52
Tc  0.1669  0.8331  0.2500  4 Tc 2.45, 2 P 2.52
Tc  0.3338  0.1669  0.7500  4 Tc 2.45, 2 P 2.52
Tc  0.6662  0.8331  0.2500  4 Tc 2.45, 2 P 2.52
Tc  0.8331  0.1669  0.7500  4 Tc 2.45, 2 P 2.52
Tc  0.8331  0.6662  0.7500  4 Tc 2.45, 2 P 2.52
P  0.3333  0.6667  0.0356  3 Tc 2.52
P  0.3333  0.6667  0.4644  3 Tc 2.52
P  0.6667  0.3333  0.5356  3 Tc 2.52
P  0.6667  0.3333  0.9644  3 Tc 2.52

DFT (PBE-GGA) results for Mg3C after structural relaxation.

DFT formation energy: 196.5 kJ/mol of formula units
VASP energy: -2.993 eV/atom
E above lowest polymorph: 174 meV per atom

Cell lengths 5.2713, 5.2713, 5.2713 Å; angles 145.72, 72.46, 118.36 degrees
With the nearest neighbours (Å) after each atom.
Element x y z (fractional)
Mg  0.0000  0.0000  0.0000  2 C 2.25
Mg  0.2992  0.4669  0.8323  2 C 2.29
Mg  0.6347  0.4669  0.1677  2 C 2.29
C  0.3013  0.8013  0.5000  6 Mg 2.25-2.29

DFT (PBE-GGA) results for Na3Dy2ThS6 after structural relaxation.

VASP energy: -5.544 eV/atom
E_form (uncorrected): -1.765 eV/atom

Cell lengths 9.0829, 9.0829, 8.1910 Å; angles 104.38, 104.38, 25.36 degrees
With the nearest neighbours (Å) after each atom.
Element x y z (fractional)
Na  0.0000  0.0000  0.0000  6 S 2.88-2.95
Na  0.3321  0.3321  0.6695  6 S 2.90-2.98
Na  0.6679  0.6679  0.3305  6 S 2.90-2.98
Dy  0.3314  0.3314  0.1608  6 S 2.74-2.80
Dy  0.6686  0.6686  0.8392  6 S 2.74-2.80
Th  0.0000  0.0000  0.5000  6 S 2.80-2.83
S  0.1634  0.1634  0.5976  2 Dy 2.79, 1 Th 2.80, 3 Na 2.90-2.98
S  0.1715  0.1715  0.0719  3 Dy 2.74-2.75, 3 Na 2.92-2.95
S  0.4947  0.4947  0.2514  1 Dy 2.80, 2 Th 2.83, 3 Na 2.88-2.97
S  0.5053  0.5053  0.7486  1 Dy 2.80, 2 Th 2.83, 3 Na 2.88-2.97
S  0.8285  0.8285  0.9281  3 Dy 2.74-2.75, 3 Na 2.92-2.95
S  0.8366  0.8366  0.4024  2 Dy 2.79, 1 Th 2.80, 3 Na 2.90-2.98